Computed, not measured: BaMgPb2Se4 after structural relaxation at the PBE level of DFT.

Lattice parameters (Å, degrees): 8.7648 8.7921 12.3827 90.00 90.00 90.00
With the nearest neighbours (Å) after each atom.
Space group Imma (No. 74)
Symmetry-distinct sites (fractional):
Ba1 0.0000 0.0000 0.0000 (multiplicity 4)  6 Se 3.17
Mg1 0.2500 0.2500 0.2500 (multiplicity 4)  6 Se 2.92-2.98
Pb1 0.0000 0.0000 0.5000 (multiplicity 4)  6 Se 3.03-3.04
Pb2 0.2500 0.2500 0.7500 (multiplicity 4)  6 Se 3.24-3.27
Se1 0.0000 0.0210 0.2558 (multiplicity 8)  2 Mg 2.98, 3 Pb 3.03-3.24, 1 Ba 3.17
Se2 0.2396 0.2500 0.4857 (multiplicity 8)  1 Mg 2.92, 2 Pb 3.04, 2 Ba 3.17

Results
The formation energy without anion corrections is -1002.5 meV/atom. Its crystal system is orthorhombic. For the electronic total energy, the calculation gives -4.11 eV/atom.



Computed, not measured: BaSmMgPb after structural relaxation at the PBE level of DFT.

Lattice parameters (Å, degrees): 8.1322 8.1322 8.1322 90.00 90.00 90.00
With the nearest neighbours (Å) after each atom.
Space group F-43m (No. 216)
Symmetry-distinct sites (fractional):
Ba1 0.0000 0.0000 0.0000 (multiplicity 4)  4 Pb 3.52, 4 Mg 3.52
Sm1 0.0000 0.0000 0.5000 (multiplicity 4)  4 Pb 3.52, 4 Mg 3.52
Mg1 0.2500 0.2500 0.2500 (multiplicity 4)  4 Ba 3.52, 4 Sm 3.52
Pb1 0.2500 0.2500 0.7500 (multiplicity 4)  4 Ba 3.52, 4 Sm 3.52

Results
The value obtained for the formation energy is -0.232 eV per atom. Its crystal system is cubic. For the electronic total energy, the calculation gives -3.22 eV/atom.



Computed, not measured: Ba2Mg4SnPb3 after structural relaxation at the PBE level of DFT.

Lattice parameters (Å, degrees): 4.9746 4.9746 12.4177 90.00 90.00 90.00
With the nearest neighbours (Å) after each atom.
Space group P-4m2 (No. 115)
Symmetry-distinct sites (fractional):
Ba1 0.0000 0.5000 0.2480 (multiplicity 2)  8 Mg 3.79-4.00, 6 Pb 3.80-3.96, 2 Sn 3.96
Mg1 0.0000 0.0000 0.5000 (multiplicity 1)  4 Pb 3.00
Mg2 0.0000 0.5000 0.8661 (multiplicity 2)  3 Pb 2.87-2.99, 2 Sn 2.99
Mg3 0.5000 0.5000 0.5000 (multiplicity 1)  4 Pb 3.00
Sn1 0.5000 0.5000 0.0000 (multiplicity 1)  4 Mg 2.99
Pb1 0.0000 0.0000 0.0000 (multiplicity 1)  4 Mg 2.99
Pb2 0.0000 0.5000 0.6352 (multiplicity 2)  5 Mg 2.87-3.00

Results
The value obtained for the formation energy is -0.402 eV per atom. Its crystal system is tetragonal. For the electronic total energy, the calculation gives -2.94 eV/atom.



Computed, not measured: Ba2Mg4Sn3Pb after structural relaxation at the PBE level of DFT.

Lattice parameters (Å, degrees): 4.9421 4.9421 12.2901 90.00 90.00 90.00
With the nearest neighbours (Å) after each atom.
Space group P-4m2 (No. 115)
Symmetry-distinct sites (fractional):
Ba1 0.0000 0.5000 0.2484 (multiplicity 2)  8 Mg 3.77-3.93, 6 Sn 3.77-3.96, 2 Pb 3.96
Mg1 0.0000 0.0000 0.0000 (multiplicity 1)  4 Sn 2.97
Mg2 0.0000 0.5000 0.6367 (multiplicity 2)  3 Sn 2.83-2.99, 2 Pb 2.99
Mg3 0.5000 0.5000 0.0000 (multiplicity 1)  4 Sn 2.97
Sn1 0.0000 0.5000 0.8666 (multiplicity 2)  5 Mg 2.83-2.97
Sn2 0.5000 0.5000 0.5000 (multiplicity 1)  4 Mg 2.99
Pb1 0.0000 0.0000 0.5000 (multiplicity 1)  4 Mg 2.99

Results
The value obtained for the formation energy is -0.469 eV per atom. Its crystal system is tetragonal. For the electronic total energy, the calculation gives -3.06 eV/atom.



Computed, not measured: Ba2Mg3Sn4Pb after structural relaxation at the PBE level of DFT.

Lattice parameters (Å, degrees): 5.1011 5.1011 12.0382 90.00 90.00 90.00
With the nearest neighbours (Å) after each atom.
Space group P-4m2 (No. 115)
Symmetry-distinct sites (fractional):
Ba1 0.0000 0.5000 0.2397 (multiplicity 2)  8 Sn 3.85-3.89, 6 Mg 3.87-4.04, 2 Pb 4.04
Mg1 0.0000 0.5000 0.8758 (multiplicity 2)  5 Sn 2.83-2.96
Mg2 0.5000 0.5000 0.5000 (multiplicity 1)  4 Sn 3.06
Sn1 0.0000 0.0000 0.0000 (multiplicity 1)  4 Mg 2.96
Sn2 0.0000 0.5000 0.6404 (multiplicity 2)  3 Mg 2.83-3.06, 2 Pb 3.06
Sn3 0.5000 0.5000 0.0000 (multiplicity 1)  4 Mg 2.96
Pb1 0.0000 0.0000 0.5000 (multiplicity 1)  4 Sn 3.06

Results
The value obtained for the formation energy is -0.403 eV per atom. Its crystal system is tetragonal. For the electronic total energy, the calculation gives -3.24 eV/atom.



Computed, not measured: Ba2MgSnPb6 after structural relaxation at the PBE level of DFT.

Lattice parameters (Å, degrees): 7.7433 7.7433 41.7556 90.00 90.00 120.00
With the nearest neighbours (Å) after each atom.
Space group R-3m (No. 166, hexagonal axes)
Symmetry-distinct sites (fractional):
Ba1 0.0000 0.0000 0.1101 (multiplicity 6)  12 Pb 4.03-4.10
Ba2 0.0000 0.0000 0.2865 (multiplicity 6)  12 Pb 3.87-4.11
Mg1 0.0000 0.0000 0.0000 (multiplicity 3)  6 Pb 2.95
Mg2 0.0000 0.0000 0.5000 (multiplicity 3)  6 Pb 2.97, 2 Sn 3.05
Sn1 0.0000 0.0000 0.4271 (multiplicity 6)  1 Mg 3.05, 6 Pb 3.13-3.17
Pb1 0.0512 0.5256 0.2992 (multiplicity 18)  1 Mg 2.95, 1 Sn 3.13, 2 Pb 3.28
Pb2 0.0629 0.5314 0.8649 (multiplicity 18)  1 Mg 2.97, 2 Pb 3.14, 1 Sn 3.17

Results
The value obtained for the formation energy is -0.180 eV per atom. Its crystal system is trigonal. For the electronic total energy, the calculation gives -3.35 eV/atom.